Entry w
The following is a DFT calculation (PBE-GGA) of Cd2CoCl after structural relaxation. Values from VASP.

The structure in Quantum ESPRESSO input format:
```
&SYSTEM
  ibrav = 0, nat = 4, ntyp = 3
/
ATOMIC_SPECIES
Cl 35.45 Cl.upf
Co 58.93 Co.upf
Cd 112.41 Cd.upf
ATOMIC_POSITIONS angstrom
Cl 1.560 0.820 1.963
Co 1.560 2.459 5.890
Cd 0.000 0.900 7.578
Cd 0.000 0.846 4.254
CELL_PARAMETERS angstrom
3.120 0.000 0.000
0.000 3.172 -0.053
0.000 0.107 7.906
```

***

Entry x
The following is a DFT calculation (PBE-GGA) of Cd2CoCl after structural relaxation. Values from VASP.

The structure in Quantum ESPRESSO input format:
```
&SYSTEM
  ibrav = 0, nat = 8, ntyp = 3
/
ATOMIC_SPECIES
Cl 35.45 Cl.upf
Co 58.93 Co.upf
Cd 112.41 Cd.upf
ATOMIC_POSITIONS angstrom
Cl -2.351 -4.790 -0.426
Cl -3.228 -7.601 2.382
Co 0.000 0.000 0.000
Co -6.011 -5.859 -1.845
Cd -4.393 -3.753 -2.180
Cd -1.402 -5.372 2.236
Cd -5.175 -6.370 0.645
Cd -7.508 -11.425 0.373
CELL_PARAMETERS angstrom
-5.135 -3.048 -4.654
0.433 -6.533 3.802
-4.537 -3.879 1.389
```

***

Entry y
The following is a DFT calculation (PBE-GGA) of Cd2CoCl after structural relaxation. Values from VASP.

The structure in Quantum ESPRESSO input format:
```
&SYSTEM
  ibrav = 0, nat = 4, ntyp = 3
/
ATOMIC_SPECIES
Cl 35.45 Cl.upf
Co 58.93 Co.upf
Cd 112.41 Cd.upf
ATOMIC_POSITIONS angstrom
Cl -0.205 -2.989 0.013
Co -2.640 -1.413 -0.067
Cd 0.000 0.000 0.000
Cd -3.554 -0.029 2.427
CELL_PARAMETERS angstrom
-5.990 1.547 2.348
0.710 -4.373 -2.481
-1.119 -1.605 2.507
```

***

Entry z
The following is a DFT calculation (PBE-GGA) of Cd2CoCl after structural relaxation. Values from VASP.

The structure in Quantum ESPRESSO input format:
```
&SYSTEM
  ibrav = 0, nat = 4, ntyp = 3
/
ATOMIC_SPECIES
Cl 35.45 Cl.upf
Co 58.93 Co.upf
Cd 112.41 Cd.upf
ATOMIC_POSITIONS angstrom
Cl 0.000 0.000 5.255
Co 1.519 1.519 6.461
Cd 0.000 0.000 8.408
Cd 1.519 1.519 2.019
CELL_PARAMETERS angstrom
3.038 0.000 0.000
0.000 3.038 0.000
0.000 0.000 8.858
```

***

Most favorable structure: entry w. The second most favorable one is 11.1 kJ/mol of atoms above it.

***

Entry w
The following is a DFT calculation (PBE-GGA) of Cd2CoCl after structural relaxation. Values from VASP.

The structure in Quantum ESPRESSO input format:
```
&SYSTEM
  ibrav = 0, nat = 4, ntyp = 3
/
ATOMIC_SPECIES
Cl 35.45 Cl.upf
Co 58.93 Co.upf
Cd 112.41 Cd.upf
ATOMIC_POSITIONS angstrom
Cl 1.543 0.000 2.703
Co 0.000 2.393 2.703
Cd 0.000 0.000 0.000
Cd 1.543 2.393 0.000
CELL_PARAMETERS angstrom
3.086 0.000 0.000
0.000 4.786 0.000
0.000 0.000 5.405
```

***

Entry x
The following is a DFT calculation (PBE-GGA) of Cd2CoCl after structural relaxation. Values from VASP.

The structure in Quantum ESPRESSO input format:
```
&SYSTEM
  ibrav = 0, nat = 4, ntyp = 3
/
ATOMIC_SPECIES
Cl 35.45 Cl.upf
Co 58.93 Co.upf
Cd 112.41 Cd.upf
ATOMIC_POSITIONS angstrom
Cl 4.508 2.115 0.000
Co 2.539 2.092 1.265
Cd 0.847 0.398 0.000
Cd 3.443 -0.555 1.266
CELL_PARAMETERS angstrom
6.606 0.028 0.001
4.243 5.062 -0.001
-4.936 -3.586 2.531
```

***

Entry y
The following is a DFT calculation (PBE-GGA) of Cd2CoCl after structural relaxation. Values from VASP.

The structure in Quantum ESPRESSO input format:
```
&SYSTEM
  ibrav = 0, nat = 4, ntyp = 3
/
ATOMIC_SPECIES
Cl 35.45 Cl.upf
Co 58.93 Co.upf
Cd 112.41 Cd.upf
ATOMIC_POSITIONS angstrom
Cl -5.270 -12.258 5.166
Co -8.497 -19.765 8.330
Cd -0.214 -0.499 0.210
Cd -2.887 -6.716 2.830
CELL_PARAMETERS angstrom
-4.860 -8.837 2.262
-2.108 -9.459 3.593
-4.277 -7.862 5.169
```

***

Most favorable structure: entry y. The second most favorable one is 2.9 kJ/mol of atoms above it.